No. 1
Below is a relaxed structure of Li6MgPd, with properties calculated at the PBE level.

For the density of states at the Fermi level, the calculation gives 3.0 states/eV per cell. For the calculated formation energy, the calculation gives -104 meV per atom. The calculation puts the volume at 138 Å³/cell. The total moment comes out at 0.0 μB/f.u. The final energy is -19.10 eV/cell.

It has space group P-1 (No. 2), with a = 5.164 Å, b = 5.178 Å, c = 5.185 Å, α = 90.54°, β = 92.12° and γ = 92.48°. The inequivalent atoms are Li at (0.005, 0.266, 0.002), Li at (0.266, 0.508, 0.505), Li at (0.492, 0.997, 0.233), Mg at (0.000, 0.000, 0.500) and Pd at (0.500, 0.500, 0.000).

=====

No. 2
Below is a relaxed structure of Th2Cu5Si3, with properties calculated at the PBE level.

For the density of states at the Fermi level, the calculation gives 14.8 states/eV per cell. The calculation puts the volume at 671 Å³/cell. The energy relative to the elements, uncorrected comes out at -48 kJ per mole of atoms. The total moment comes out at 0.0 μB/f.u. The final energy is -226.06 eV/cell.

It has space group Ibam (No. 72), with a = 9.733 Å, b = 11.792 Å, c = 5.847 Å, α = 90.00°, β = 90.00° and γ = 90.00°. The inequivalent atoms are Th at (0.242, 0.126, 0.000), Cu at (0.000, 0.265, 0.250), Cu at (0.000, 0.500, 0.250), Cu at (0.121, 0.124, 0.500), Si at (0.000, 0.000, 0.250) and Si at (0.137, 0.377, 0.000).

=====

No. 3
Below is a relaxed structure of IrPb8, with properties calculated at the PBE level.

For the density of states at the Fermi level, the calculation gives 8.7 states/eV per cell. For the calculated formation energy, the calculation gives 170 meV per atom. The calculation puts the volume at 518 Å³/cell. The total moment comes out at 0.0 μB/f.u. The final energy is -73.99 eV/cell.

It has space group I4/mmm (No. 139), with a = 10.307 Å, b = 10.307 Å, c = 4.874 Å, α = 90.00°, β = 90.00° and γ = 90.00°. The inequivalent atoms are Ir at (0.000, 0.000, 0.000), Pb at (0.000, 0.308, 0.000) and Pb at (0.155, 0.155, 0.500).

=====

No. 4
Below is a relaxed structure of I3O, with properties calculated at the PBE level.

For the density of states at the Fermi level, the calculation gives 12.1 states/eV per cell. The calculation puts the volume at 574 Å³/cell. The energy relative to the elements, uncorrected comes out at 27 kJ per mole of atoms. The total moment comes out at 1.1 μB/f.u. The final energy is -33.88 eV/cell.

It has space group I4_1/amd (No. 141, origin choice 2), with a = 7.394 Å, b = 7.394 Å, c = 10.493 Å, α = 90.00°, β = 90.00° and γ = 90.00°. The inequivalent atoms are I at (0.000, 0.000, 0.000), I at (0.000, 0.250, 0.375) and O at (0.000, 0.250, 0.875).

=====

No. 5
Below is a relaxed structure of CdSnAsP, with properties calculated at the PBE level.

For the density of states at the Fermi level, the calculation gives 1.8 states/eV per cell. For the calculated formation energy, the calculation gives -80 meV per atom. The calculation puts the volume at 336 Å³/cell. The total moment comes out at 0.0 μB/f.u. The final energy is -45.90 eV/cell.

It has space group R3m (No. 160, hexagonal axes), with a = 4.2992 Å, b = 4.2992 Å, c = 20.9617 Å, α = 90.00°, β = 90.00° and γ = 120.00°. The inequivalent atoms are Cd at (0.0000, 0.0000, 0.0000), Sn at (0.0000, 0.0000, 0.4777), As at (0.0000, 0.0000, 0.8654) and P at (0.0000, 0.0000, 0.3592).

=====

No. 6
Below is a relaxed structure of Ba5Ag, with properties calculated at the PBE level.

For the density of states at the Fermi level, the calculation gives 7.9 states/eV per cell. For the calculated formation energy, the calculation gives -64 meV per atom. The calculation puts the volume at 322 Å³/cell. The total moment comes out at 0.0 μB/f.u. The final energy is -12.85 eV/cell.

It has space group P4/mmm (No. 123), with a = 4.270 Å, b = 4.270 Å, c = 17.658 Å, α = 90.00°, β = 90.00° and γ = 90.00°. The inequivalent atoms are Ba at (0.000, 0.000, 0.000), Ba at (0.000, 0.000, 0.390), Ba at (0.500, 0.500, 0.194) and Ag at (0.500, 0.500, 0.500).

=====

No. 7
Below is a relaxed structure of UFeP2Pt2, with properties calculated at the PBE level.

For the density of states at the Fermi level, the calculation gives 11.9 states/eV per cell. For the calculated formation energy, the calculation gives -553 meV per atom. The calculation puts the volume at 192 Å³/cell. The total moment comes out at 1.0 μB/f.u. The final energy is -91.94 eV/cell.

It has space group Pmc2_1 (No. 26), with a = 3.919 Å, b = 6.385 Å, c = 7.670 Å, α = 90.00°, β = 90.00° and γ = 90.00°. The inequivalent atoms are U at (0.000, 0.081, 0.000), Fe at (0.500, 0.184, 0.243), P at (0.000, 0.313, 0.328), P at (0.500, 0.154, 0.711), Pt at (0.000, 0.381, 0.634) and Pt at (0.500, 0.420, 0.933).

=====

No. 8
Below is a relaxed structure of Si2RuBr, with properties calculated at the PBE level.

For the density of states at the Fermi level, the calculation gives 3.5 states/eV per cell. The calculation puts the volume at 172 Å³/cell. The energy relative to the elements, uncorrected comes out at 15 kJ per mole of atoms. The total moment comes out at 0.0 μB/f.u. The final energy is -42.35 eV/cell.

It has space group Imm2 (No. 44), with a = 2.990 Å, b = 3.722 Å, c = 15.483 Å, α = 90.00°, β = 90.00° and γ = 90.00°. The inequivalent atoms are Si at (0.000, 0.000, 0.000), Si at (0.000, 0.500, 0.154), Ru at (0.000, 0.000, 0.530) and Br at (0.000, 0.500, 0.757).

=====

No. 9
Below is a relaxed structure of ErPuMgSn, with properties calculated at the PBE level.

For the density of states at the Fermi level, the calculation gives 38.6 states/eV per cell. For the calculated formation energy, the calculation gives -229 meV per atom. The calculation puts the volume at 420 Å³/cell. The total moment comes out at 6.4 μB/f.u. The final energy is -101.63 eV/cell.

It has space group F-43m (No. 216), with a = 7.490 Å, b = 7.490 Å, c = 7.490 Å, α = 90.00°, β = 90.00° and γ = 90.00°. The inequivalent atoms are Er at (0.000, 0.000, 0.000), Pu at (0.000, 0.000, 0.500), Mg at (0.250, 0.250, 0.750) and Sn at (0.250, 0.250, 0.250).

=====

No. 10
Below is a relaxed structure of Zr2AlSi, with properties calculated at the PBE level.

For the density of states at the Fermi level, the calculation gives 11.3 states/eV per cell. The calculation puts the volume at 296 Å³/cell. The energy relative to the elements, uncorrected comes out at -46 kJ per mole of atoms. The total moment comes out at 0.0 μB/f.u. The final energy is -112.62 eV/cell.

It has space group Cmcm (No. 63), with a = 8.427 Å, b = 6.724 Å, c = 5.227 Å, α = 90.00°, β = 90.00° and γ = 90.00°. The inequivalent atoms are Zr at (0.197, 0.159, 0.250), Al at (0.000, 0.165, 0.750) and Si at (0.000, 0.500, 0.000).

=====

No. 11
Below is a relaxed structure of Sc5InOs, with properties calculated at the PBE level.

For the density of states at the Fermi level, the calculation gives 7.4 states/eV per cell. For the calculated formation energy, the calculation gives -136 meV per atom. The calculation puts the volume at 159 Å³/cell. The total moment comes out at 0.0 μB/f.u. The final energy is -46.58 eV/cell.

It has space group P4/mmm (No. 123), with a = 4.769 Å, b = 4.769 Å, c = 6.999 Å, α = 90.00°, β = 90.00° and γ = 90.00°. The inequivalent atoms are Sc at (0.000, 0.000, 0.000), Sc at (0.000, 0.500, 0.240), In at (0.000, 0.000, 0.500) and Os at (0.500, 0.500, 0.000).

=====

No. 12
Below is a relaxed structure of Tb2Nd3Dy6Sc, with properties calculated at the PBE level.

For the density of states at the Fermi level, the calculation gives 32.4 states/eV per cell. For the calculated formation energy, the calculation gives 28 meV per atom. The calculation puts the volume at 764 Å³/cell. The total moment comes out at 0.0 μB/f.u. The final energy is -114.35 eV/cell.

It has space group C2/m (No. 12), with a = 6.167 Å, b = 10.680 Å, c = 11.780 Å, α = 90.00°, β = 100.04° and γ = 90.00°. The inequivalent atoms are Tb at (0.000, 0.166, 0.000), Nd at (0.000, 0.000, 0.500), Nd at (0.000, 0.333, 0.500), Dy at (0.246, 0.335, 0.244), Dy at (0.250, 0.000, 0.244) and Sc at (0.000, 0.500, 0.000).